Compound: HoAlBr
Source: Alexandria
Functional: PBE-GGA
Structure: optimized geometry

extended XYZ file:
```
6
Lattice="-1.8127 1.0086 -3.2970 1.2249 -1.4254 -3.4106 -10.0569 -8.8756 0.5130" Properties=species:S:1:pos:R:3 pbc="T T T"
Ho -4.3420 -1.8792 -2.7898
Ho -6.3028 -7.4132 -3.4047
Al -6.4678 -4.5486 -2.4377
Al -4.1770 -4.7438 -3.7569
Br -1.5846 -1.5935 -1.9173
Br -9.0601 -7.6989 -4.2772
```

uncorrected formation energy = -0.910 eV per atom
crystal system = monoclinic
space group = C2/m, No. 12

Compound: Al2IBr
Source: Alexandria
Functional: PBE-GGA
Structure: optimized geometry

extended XYZ file:
```
4
Lattice="0.0000 3.9143 3.9143 3.9143 0.0000 3.9143 3.9143 3.9143 0.0000" Properties=species:S:1:pos:R:3 pbc="T T T"
I 3.9143 3.9143 3.9143
Al 1.9572 1.9572 1.9572
Al 5.8715 5.8715 5.8715
Br 0.0000 0.0000 0.0000
```

uncorrected formation energy = 0.050 eV per atom
ΔE to the lowest computed polymorph = 0.0 meV/atom
crystal system = cubic
space group = Fm-3m, No. 225

Compound: AlI2Br
Source: Alexandria
Functional: PBE-GGA
Structure: optimized geometry

extended XYZ file:
```
8
Lattice="8.2461 0.0000 0.0000 0.0000 8.2461 0.0000 4.1231 4.1231 3.9624" Properties=species:S:1:pos:R:3 pbc="T T T"
I 5.5135 2.0615 0.9906
I 2.7327 6.1846 0.9906
I 6.1846 6.8557 2.9718
I 10.3077 9.6365 2.9718
Al 4.1231 4.1231 0.0000
Al 4.1231 8.2461 1.9812
Br 0.0000 0.0000 0.0000
Br 8.2461 4.1231 1.9812
```

uncorrected formation energy = -0.233 eV per atom
ΔE to the lowest computed polymorph = 540.2 meV/atom
crystal system = tetragonal
space group = I-42d, No. 122

Compound: AlIBr
Source: Alexandria
Functional: PBE-GGA
Structure: optimized geometry

extended XYZ file:
```
12
Lattice="4.0054 0.0000 0.0000 0.0000 10.5870 2.1256 0.0000 1.5747 9.9641" Properties=species:S:1:pos:R:3 pbc="T T T"
Al 0.0034 10.8470 8.3566
Al 4.0020 1.3146 3.7331
Al 1.9993 4.7662 2.3118
Al 2.0061 7.3955 9.7779
Br 4.0029 9.2978 10.4366
Br 2.0052 3.2170 4.3917
Br 2.0002 8.9447 7.6979
Br 0.0025 2.8638 1.6531
I 2.0019 10.4678 4.5360
I 0.0008 5.9616 8.4553
I 4.0046 6.2000 3.6344
I 2.0035 1.6939 7.5536
```

uncorrected formation energy = -0.609 eV per atom
ΔE to the lowest computed polymorph = 44.4 meV/atom
crystal system = monoclinic
space group = P2_1/c, No. 14

Compound: Al2IBr2
Source: Alexandria
Functional: PBE-GGA
Structure: optimized geometry

extended XYZ file:
```
5
Lattice="-1.1425 -4.0911 2.3238 4.4066 -1.7684 -0.9468 3.6014 -0.6705 5.6342" Properties=species:S:1:pos:R:3 pbc="T T T"
I 0.0000 0.0000 0.0000
Al 2.1030 -2.3895 1.8711
Al 4.7625 -4.1405 5.1400
Br 2.0454 -3.8457 4.3232
Br 4.8200 -2.6844 2.6879
```

uncorrected formation energy = -0.217 eV per atom
ΔE to the lowest computed polymorph = 131.4 meV/atom
crystal system = tetragonal
space group = I4/mmm, No. 139

Compound: AlI2Br
Source: Alexandria
Functional: PBE-GGA
Structure: optimized geometry

extended XYZ file:
```
4
Lattice="0.0000 3.8522 3.8522 3.8522 0.0000 3.8522 3.8522 3.8522 0.0000" Properties=species:S:1:pos:R:3 pbc="T T T"
I 1.9261 1.9261 1.9261
I 5.7783 5.7783 5.7783
Al 0.0000 0.0000 0.0000
Br 3.8522 3.8522 3.8522
```

uncorrected formation energy = 0.249 eV per atom
ΔE to the lowest computed polymorph = 1021.8 meV/atom
crystal system = cubic
space group = Fm-3m, No. 225

Compound: AlI2Br
Source: Alexandria
Functional: PBE-GGA
Structure: optimized geometry

extended XYZ file:
```
4
Lattice="3.9596 -0.0151 1.1894 -0.8155 5.8445 2.7903 -0.2169 -0.2331 7.9446" Properties=species:S:1:pos:R:3 pbc="T T T"
Al 0.4742 0.4919 7.6698
I 2.2451 2.0604 8.9794
I -0.5190 4.4908 3.8180
Br 1.1206 0.3281 5.5023
```

uncorrected formation energy = -0.773 eV per atom
ΔE to the lowest computed polymorph = 0.0 meV/atom
crystal system = triclinic
space group = P1, No. 1

Compound: Al2IBr2
Source: Alexandria
Functional: PBE-GGA
Structure: optimized geometry

extended XYZ file:
```
10
Lattice="-2.9345 -3.4590 6.3346 6.9528 0.4801 3.4830 -1.2435 4.4718 1.8658" Properties=species:S:1:pos:R:3 pbc="T T T"
I 0.0000 0.0000 0.0000
I 2.0092 -1.4894 4.9088
Al 4.9928 -0.8841 5.4463
Al 1.7545 -2.7359 7.7264
Al -0.9744 -2.0948 4.3713
Al 2.2639 -0.2430 2.0912
Br 4.1394 1.5235 5.8134
Br 1.7026 -0.2730 8.4949
Br -1.3646 -0.0306 5.8700
Br 1.0723 1.7658 3.1885
```

uncorrected formation energy = -0.348 eV per atom
ΔE to the lowest computed polymorph = 0.0 meV/atom
crystal system = tetragonal
space group = P4/mbm, No. 127

Compound: AlIBr
Source: Alexandria
Functional: PBE-GGA
Structure: optimized geometry

extended XYZ file:
```
6
Lattice="3.4941 0.6930 0.9262 3.4770 9.1388 1.9042 -0.0703 -0.7010 7.9837" Properties=species:S:1:pos:R:3 pbc="T T T"
Al 3.6875 3.6569 1.6033
Al 3.2132 5.4738 9.2109
I 5.3313 6.4930 7.7695
I 1.5694 2.6377 3.0446
Br 2.4381 1.7348 7.6278
Br 4.4627 7.3959 3.1863
```

uncorrected formation energy = -0.653 eV per atom
ΔE to the lowest computed polymorph = 0.0 meV/atom
crystal system = triclinic
space group = P-1, No. 2

Compound: AlI2Br
Source: Alexandria
Functional: PBE-GGA
Structure: optimized geometry

extended XYZ file:
```
4
Lattice="-3.9265 0.6824 -0.4592 -3.0654 -0.6925 7.5187 -1.8339 5.3103 5.9035" Properties=species:S:1:pos:R:3 pbc="T T T"
Al -6.8166 3.0147 9.9806
I -6.7236 4.7490 11.7528
I -6.4391 3.5711 7.5923
Br -2.0851 1.9156 3.0818
```

uncorrected formation energy = -0.734 eV per atom
ΔE to the lowest computed polymorph = 38.4 meV/atom
crystal system = monoclinic
space group = C2, No. 5

Compound: Al2IBr
Source: Alexandria
Functional: PBE-GGA
Structure: optimized geometry

extended XYZ file:
```
8
Lattice="-6.5054 -1.0817 3.2491 -0.7161 -6.3914 -3.5615 -0.3574 -7.1057 5.2359" Properties=species:S:1:pos:R:3 pbc="T T T"
I 0.0000 0.0000 0.0000
I -5.2368 -5.9620 4.1644
Al -4.0934 -3.2262 2.8189
Al -1.5014 -5.9314 -0.4352
Al -2.9928 -8.2804 3.7269
Al -6.5701 -11.7195 3.7364
Br -3.6107 -3.7365 -0.1562
Br -2.3421 -8.6168 0.7591
```

uncorrected formation energy = 0.095 eV per atom
ΔE to the lowest computed polymorph = 45.4 meV/atom
crystal system = tetragonal
space group = I-42d, No. 122

Compound: AlInIBr4
Source: Alexandria
Functional: PBE-GGA
Structure: optimized geometry

extended XYZ file:
```
14
Lattice="9.5518 1.7588 0.1424 4.8235 8.4299 0.1424 3.1065 2.2018 9.8796" Properties=species:S:1:pos:R:3 pbc="T T T"
Al 12.5213 8.8748 6.9182
Al 4.9604 3.5158 3.2461
In 4.3584 3.0891 8.2224
In 13.1234 9.3015 1.9419
I 1.1564 0.8196 1.3641
I 16.3254 11.5710 8.8002
Br 3.8772 2.7480 5.1668
Br 13.6046 9.6425 4.9975
Br 3.2836 4.5987 1.9644
Br 6.7949 4.8160 3.5591
Br 12.0550 10.8157 8.1999
Br 5.4268 1.5749 1.9644
Br 10.6869 7.5745 6.6052
Br 14.1982 7.7918 8.1999
```

uncorrected formation energy = -0.830 eV per atom
crystal system = monoclinic
space group = C2/m, No. 12

Compound: KAlI2Br
Source: Alexandria
Functional: PBE-GGA
Structure: optimized geometry

extended XYZ file:
```
5
Lattice="-2.7533 3.6959 -3.5962 -3.7404 1.3751 4.2769 3.2362 3.9341 1.5654" Properties=species:S:1:pos:R:3 pbc="T T T"
I -1.8702 0.6875 2.1384
I -1.3767 1.8479 -1.7981
K -1.6287 4.5025 1.1230
Al 0.0000 0.0000 0.0000
Br 1.6181 1.9670 0.7827
```

uncorrected formation energy = -0.891 eV per atom
crystal system = tetragonal
space group = P4/mmm, No. 123

Compound: La4AlI2Br
Source: Alexandria
Functional: PBE-GGA
Structure: optimized geometry

extended XYZ file:
```
8
Lattice="-4.3600 -1.1734 0.1173 0.2849 -1.7832 -7.2513 1.9140 -6.6593 4.5278" Properties=species:S:1:pos:R:3 pbc="T T T"
La -1.7003 -2.4432 -0.6840
La -0.4608 -7.1727 -1.9222
La 1.5771 -5.6921 1.6812
La 0.6217 -2.7504 -4.4047
Al 0.0000 0.0000 0.0000
I -1.2230 -3.9163 2.3225
I 1.0994 -4.2213 -1.3618
Br -2.0376 -1.4783 -3.5670
```

uncorrected formation energy = -0.921 eV per atom
crystal system = monoclinic
space group = P2/m, No. 10

Compound: AlIBrN2
Source: Alexandria
Functional: PBE-GGA
Structure: optimized geometry

extended XYZ file:
```
5
Lattice="-1.1748 2.6045 3.0935 -4.0354 -0.5467 -1.0722 -0.4783 -5.9691 4.8438" Properties=species:S:1:pos:R:3 pbc="T T T"
I -0.2392 -2.9845 2.4219
Al -2.8443 -1.9557 3.4325
Br 0.0000 0.0000 0.0000
N -2.0177 -0.2734 -0.5361
N -0.5874 1.3022 1.5468
```

uncorrected formation energy = 1.943 eV per atom
ΔE to the lowest computed polymorph = 933.1 meV/atom
crystal system = tetragonal
space group = P4/mmm, No. 123

Compound: AlI2BrN
Source: Alexandria
Functional: PBE-GGA
Structure: optimized geometry

extended XYZ file:
```
5
Lattice="-5.1977 -2.9662 1.3157 2.7898 -2.8159 4.6727 -0.9358 2.5763 2.1113" Properties=species:S:1:pos:R:3 pbc="T T T"
I 1.3949 -1.4080 2.3363
I -2.5989 -1.4831 0.6579
Al 0.0000 0.0000 0.0000
Br -1.6719 -1.6029 4.0498
N -0.4679 1.2882 1.0556
```

uncorrected formation energy = 0.301 eV per atom
ΔE to the lowest computed polymorph = 0.0 meV/atom
crystal system = tetragonal
space group = P4/mmm, No. 123

Compound: AlIBrN2
Source: Alexandria
Functional: PBE-GGA
Structure: optimized geometry

extended XYZ file:
```
5
Lattice="3.9189 0.0000 0.0000 0.0000 3.9189 0.0000 0.0000 0.0000 7.0556" Properties=species:S:1:pos:R:3 pbc="T T T"
I 0.0000 0.0000 3.5278
Al 0.0000 0.0000 0.0000
Br 1.9594 1.9594 3.5278
N 0.0000 1.9594 0.0000
N 1.9594 0.0000 0.0000
```

uncorrected formation energy = 1.010 eV per atom
ΔE to the lowest computed polymorph = 0.0 meV/atom
crystal system = tetragonal
space group = P4/mmm, No. 123

Compound: AlI2BrN
Source: Alexandria
Functional: PBE-GGA
Structure: optimized geometry

extended XYZ file:
```
5
Lattice="6.7651 0.0000 0.0000 0.0000 6.7651 0.0000 0.0000 0.0000 3.6982" Properties=species:S:1:pos:R:3 pbc="T T T"
I 0.0000 3.3826 0.0000
I 3.3826 0.0000 0.0000
Al 3.3826 3.3826 1.8491
Br 0.0000 0.0000 0.0000
N 0.0000 0.0000 1.8491
```

uncorrected formation energy = 1.107 eV per atom
ΔE to the lowest computed polymorph = 805.9 meV/atom
crystal system = tetragonal
space group = P4/mmm, No. 123

Compound: AlNiIBr2
Source: Alexandria
Functional: PBE-GGA
Structure: optimized geometry

extended XYZ file:
```
5
Lattice="-2.2973 0.0136 5.8948 4.3618 -4.2518 1.7096 2.8890 3.4133 1.1180" Properties=species:S:1:pos:R:3 pbc="T T T"
I 0.0000 0.0000 0.0000
Ni 1.4445 1.7066 0.5590
Al 2.4767 -0.4125 4.3612
Br 2.1809 -2.1259 0.8548
Br -1.1486 0.0068 2.9474
```

uncorrected formation energy = 0.521 eV per atom
crystal system = tetragonal
space group = P4/mmm, No. 123

Compound: AlIBrO2
Source: Alexandria
Functional: PBE-GGA
Structure: optimized geometry

extended XYZ file:
```
5
Lattice="3.8534 0.0000 0.0000 0.0000 3.8534 0.0000 0.0000 0.0000 6.4547" Properties=species:S:1:pos:R:3 pbc="T T T"
I 0.0000 0.0000 3.2273
O 0.0000 1.9267 0.0000
O 1.9267 0.0000 0.0000
Al 0.0000 0.0000 0.0000
Br 1.9267 1.9267 3.2273
```

uncorrected formation energy = -0.625 eV per atom
ΔE to the lowest computed polymorph = 0.0 meV/atom
crystal system = tetragonal
space group = P4/mmm, No. 123